[1]
MgSnIN2 | the Alexandria database | SCAN | PBEsol geometry; formation energy from raw total energies = 0.969 eV/atom; SG = P4/mmm (123); raw total energy = -91.38 eV per cell; size of the total moment = 0.286 μB per atom
1.0
-1.627 -2.107 3.115
-1.840 -2.514 -2.662
4.944 -3.702 0.079
N Sn Mg I
2 1 1 1
Direct
0.500 0.000 0.000
0.000 0.500 0.000
0.000 0.000 0.000
0.500 0.500 0.500
0.000 0.000 0.500


[2]
Ba2P7Cl | the Alexandria database | SCAN | PBEsol geometry; formation energy from raw total energies = -0.937 eV/atom; SG = P2_1/m (11); raw total energy = -338.47 eV per cell; size of the total moment = 0.000 μB per atom
1.0
-5.380 3.247 0.409
-1.013 -0.845 -6.623
-4.861 -10.386 2.069
P Ba Cl
14 4 2
Direct
0.991 0.250 0.048
0.148 0.576 0.814
0.852 0.076 0.186
0.116 0.499 0.306
0.676 0.750 0.721
0.116 0.001 0.306
0.009 0.750 0.952
0.148 0.924 0.814
0.852 0.424 0.186
0.884 0.501 0.694
0.330 0.250 0.093
0.884 0.999 0.694
0.324 0.250 0.279
0.670 0.750 0.907
0.230 0.750 0.547
0.567 0.250 0.847
0.433 0.750 0.153
0.770 0.250 0.453
0.637 0.750 0.411
0.363 0.250 0.589


[3]
HfAlSn3 | the Alexandria database | SCAN | PBEsol geometry; SG = Pm-3m (221); raw total energy = -175.55 eV per cell; size of the total moment = 0.000 μB per atom; energy relative to the elements = 528 meV per atom
1.0
5.425 0.000 0.000
0.000 5.425 0.000
0.000 0.000 5.425
Sn Al Hf
3 1 1
Direct
0.000 0.500 0.000
0.500 0.000 0.000
0.000 0.000 0.500
0.500 0.500 0.500
0.000 0.000 0.000


[4]
MgCuPb | the Alexandria database | SCAN | PBEsol geometry; SG = F-43m (216); raw total energy = -96.36 eV per cell; size of the total moment = 0.000 μB per atom; energy relative to the elements = -137 meV per atom
1.0
-2.054 -2.206 -3.261
2.240 -2.971 -2.424
-0.859 -4.333 0.450
Pb Mg Cu
1 1 1
Direct
0.500 0.500 0.500
0.000 0.000 0.000
0.750 0.750 0.750


[5]
AgSnSbTe2 | the Alexandria database | SCAN | PBEsol geometry; formation energy from raw total energies = 0.509 eV/atom; SG = P4/mmm (123); raw total energy = -176.50 eV per cell; size of the total moment = 0.000 μB per atom
1.0
5.192 0.000 0.000
0.000 5.386 0.000
0.000 0.000 5.386
Ag Sb Te Sn
1 1 2 1
Direct
0.000 0.000 0.000
0.500 0.000 0.000
0.000 0.500 0.000
0.000 0.000 0.500
0.500 0.500 0.500


[6]
Hg2MoPt | the Alexandria database | SCAN | PBEsol geometry; polymorph energy (0 for the lowest one) = 1.29 eV per formula unit; SG = P4/mmm (123); raw total energy = -239.18 eV per cell; size of the total moment = 0.202 μB per atom; energy relative to the elements = 557 meV per atom
1.0
-2.875 0.139 -0.133
-0.175 -4.770 -1.203
-0.279 -1.192 4.768
Hg Mo Pt
2 1 1
Direct
0.000 0.000 0.500
0.000 0.500 0.000
0.500 0.500 0.500
0.500 0.000 0.000


Look up the size of the total moment of the fourth one.
0.000 μB per atom